(1)
A relaxed Ba3PuTe4 crystal, computed with GGA-PBE.

Its density of states at the Fermi level is 19.51 states/eV/f.u. The value obtained for the energy relative to the elements, uncorrected is -1.546 eV per atom. The calculation puts the uncorrected energy at -5.6296 eV per atom.

The space group is Cmmm (No. 65) and the conventional cell measures 9.783, 13.803 and 4.857 Å, with angles of 90.00, 90.00 and 90.00 degrees. Symmetry generates all atoms from Ba at (0.000, 0.000, 0.000), Ba at (0.250, 0.250, 0.500), Pu at (0.000, 0.500, 0.000), Te at (0.000, 0.261, 0.000) and Te at (0.230, 0.500, 0.500).

=====

(2)
A relaxed Sc3TiIn4 crystal, computed with GGA-PBE.

Its density of states at the Fermi level is 6.76 states/eV/f.u. As for the formation energy: -0.351 eV/atom. The calculation puts the uncorrected energy at -5.0810 eV per atom.

The space group is P4/mmm (No. 123) and the conventional cell measures 3.146, 3.146 and 17.422 Å, with angles of 90.00, 90.00 and 90.00 degrees. Symmetry generates all atoms from Sc at (0.000, 0.000, 0.000), Sc at (0.000, 0.000, 0.257), Ti at (0.000, 0.000, 0.500), In at (0.500, 0.500, 0.128) and In at (0.500, 0.500, 0.384).

=====

(3)
A relaxed PSe2N2 crystal, computed with GGA-PBE.

Its density of states at the Fermi level is 2.40 states/eV/f.u. The value obtained for the energy relative to the elements, uncorrected is 1.775 eV per atom. The calculation puts the uncorrected energy at -4.0311 eV per atom.

The space group is P4/mmm (No. 123) and the conventional cell measures 4.525, 4.525 and 3.502 Å, with angles of 90.00, 90.00 and 90.00 degrees. Symmetry generates all atoms from P at (0.000, 0.000, 0.000), Se at (0.000, 0.500, 0.500), N at (0.500, 0.500, 0.000) and N at (0.500, 0.500, 0.500).

=====

(4)
A relaxed LaY3Ru crystal, computed with GGA-PBE.

Its density of states at the Fermi level is 8.61 states/eV/f.u. As for the formation energy: 0.063 eV/atom. The calculation puts the uncorrected energy at -6.6563 eV per atom.

The space group is R3m (No. 160, hexagonal axes) and the conventional cell measures 6.9726, 6.9726 and 10.4043 Å, with angles of 90.00, 90.00 and 120.00 degrees. Symmetry generates all atoms from La at (0.0000, 0.0000, 0.0000), Y at (0.1700, 0.3400, 0.2450) and Ru at (0.0000, 0.0000, 0.7644).

=====

(5)
A relaxed Dy3SbS6 crystal, computed with GGA-PBE.

The value obtained for the energy relative to the elements, uncorrected is -1.583 eV per atom. The calculation puts the uncorrected energy at -5.8519 eV per atom.

The space group is P2_1/m (No. 11) and the conventional cell measures 11.253, 3.999 and 11.340 Å, with angles of 90.00, 109.18 and 90.00 degrees. Symmetry generates all atoms from Dy at (0.073, 0.250, 0.167), Dy at (0.166, 0.750, 0.493), Dy at (0.339, 0.250, 0.924), Sb at (0.492, 0.250, 0.316), S at (0.014, 0.250, 0.383), S at (0.103, 0.250, 0.936), S at (0.231, 0.750, 0.280), S at (0.305, 0.750, 0.745), S at (0.388, 0.250, 0.535) and S at (0.423, 0.750, 0.093).

=====

(6)
A relaxed K2PCl5O crystal, computed with GGA-PBE.

The value obtained for the energy relative to the elements, uncorrected is -1.280 eV per atom. The calculation puts the uncorrected energy at -3.7021 eV per atom.

The space group is I4mm (No. 107) and the conventional cell measures 6.848, 6.848 and 9.637 Å, with angles of 90.00, 90.00 and 90.00 degrees. Symmetry generates all atoms from K at (0.000, 0.500, 0.000), P at (0.000, 0.000, 0.224), Cl at (0.000, 0.000, 0.464), Cl at (0.233, 0.233, 0.249) and O at (0.000, 0.000, 0.067).

=====

(7)
A relaxed PrIn2Se crystal, computed with GGA-PBE.

Its density of states at the Fermi level is 2.45 states/eV/f.u. The value obtained for the energy relative to the elements, uncorrected is -0.145 eV per atom. The calculation puts the uncorrected energy at -3.5805 eV per atom.

The space group is R-3m (No. 166, hexagonal axes) and the conventional cell measures 3.7609, 3.7609 and 30.9587 Å, with angles of 90.00, 90.00 and 120.00 degrees. Symmetry generates all atoms from Pr at (0.0000, 0.0000, 0.0000), In at (0.0000, 0.0000, 0.1048) and Se at (0.0000, 0.0000, 0.5000).

=====

(8)
A relaxed MgSbS2N crystal, computed with GGA-PBE.

Its density of states at the Fermi level is 2.54 states/eV/f.u. The value obtained for the energy relative to the elements, uncorrected is 0.396 eV per atom. The calculation puts the uncorrected energy at -4.0634 eV per atom.

The space group is P4/mmm (No. 123) and the conventional cell measures 5.089, 5.089 and 3.896 Å, with angles of 90.00, 90.00 and 90.00 degrees. Symmetry generates all atoms from Mg at (0.000, 0.000, 0.000), Sb at (0.500, 0.500, 0.500), S at (0.000, 0.500, 0.500) and N at (0.500, 0.500, 0.000).

=====

(9)
A relaxed CaYIn2 crystal, computed with GGA-PBE.

Its density of states at the Fermi level is 3.77 states/eV/f.u. As for the formation energy: -0.199 eV/atom. The calculation puts the uncorrected energy at -3.6847 eV per atom.

The space group is P4mm (No. 99) and the conventional cell measures 3.660, 3.660 and 8.859 Å, with angles of 90.00, 90.00 and 90.00 degrees. Symmetry generates all atoms from Ca at (0.000, 0.000, 0.000), Y at (0.500, 0.500, 0.680), In at (0.000, 0.000, 0.452) and In at (0.500, 0.500, 0.249).

=====

(10)
A relaxed Pm4SmDy2Ho crystal, computed with GGA-PBE.

Its density of states at the Fermi level is 10.99 states/eV/f.u. As for the formation energy: 0.016 eV/atom. The calculation puts the uncorrected energy at -4.6721 eV per atom.

The space group is P2/m (No. 10) and the conventional cell measures 6.240, 3.613 and 11.918 Å, with angles of 90.00, 100.21 and 90.00 degrees. Symmetry generates all atoms from Pm at (0.249, 0.000, 0.248), Pm at (0.250, 0.500, 0.751), Sm at (0.500, 0.500, 0.500), Dy at (0.000, 0.000, 0.500), Dy at (0.000, 0.500, 0.000) and Ho at (0.500, 0.000, 0.000).

=====

(11)
A relaxed BeV2S4 crystal, computed with GGA-PBE.

Its density of states at the Fermi level is 5.92 states/eV/f.u. The value obtained for the energy relative to the elements, uncorrected is -0.893 eV per atom. The calculation puts the uncorrected energy at -6.3889 eV per atom.

The space group is Fd-3m (No. 227, origin choice 2) and the conventional cell measures 9.705, 9.705 and 9.705 Å, with angles of 90.00, 90.00 and 90.00 degrees. Symmetry generates all atoms from Be at (0.125, 0.125, 0.125), V at (0.000, 0.000, 0.500) and S at (0.001, 0.001, 0.749).

=====

(12)
A relaxed MgTe2P crystal, computed with GGA-PBE.

Its density of states at the Fermi level is 1.77 states/eV/f.u. The value obtained for the energy relative to the elements, uncorrected is 0.148 eV per atom. The calculation puts the uncorrected energy at -3.1744 eV per atom.

The space group is Cmmm (No. 65) and the conventional cell measures 3.972, 8.211 and 7.793 Å, with angles of 90.00, 90.00 and 90.00 degrees. Symmetry generates all atoms from Mg at (0.000, 0.000, 0.000), Te at (0.000, 0.500, 0.264) and P at (0.000, 0.000, 0.500).

=====

Which formula does entry 7 have? PrIn2Se

=====

The highest uncorrected energy belongs to which entry? MgTe2P